# LiMnCrPt PBE-GGA optimized geometry
data_LiMnCrPt
_chemical_formula_sum 'Li1 Mn1 Cr1 Pt1'
_space_group_name_H-M_alt 'P 1'
_space_group_IT_number 1
_cell_length_a 4.256
_cell_length_b 4.256
_cell_length_c 4.256
_cell_angle_alpha 60.00
_cell_angle_beta 60.00
_cell_angle_gamma 60.00
loop_
_space_group_symop_operation_xyz
'x,y,z'
loop_
_atom_site_label
_atom_site_type_symbol
_atom_site_fract_x
_atom_site_fract_y
_atom_site_fract_z
_atom_site_occupancy
Cr1 Cr 0.750 0.750 0.750 1
Mn1 Mn 0.000 0.000 0.000 1
Pt1 Pt 0.250 0.250 0.250 1
Li1 Li 0.500 0.500 0.500 1
# Formation energy from the elements   -0.773 eV/f.u.
# Size of the total moment   0.111 μB/f.u.
# VASP energy   -27.5 eV per cell